Record 1
First-principles (GGA-PBE) data for a geometry-optimized Ca2Sn4Pd3 structure, as listed in Alexandria via LeMat-Bulk.

Results
Energy above the lowest structure with this stoichiometry: 40.0 meV/atom
Formation energy: -5.42 eV per formula unit
M_tot: 0.00 μB/cell
E_tot: -41.02 eV/cell

Lattice parameters (Å, degrees): 8.5220 7.4236 5.8974 78.63 58.65 42.72
Positions (direct):
Ca: 0.1272 0.1272 0.8728
Ca: 0.8728 0.8728 0.1272
Sn: 0.1753 0.5062 0.4938
Sn: 0.4938 0.8247 0.1753
Sn: 0.5062 0.1753 0.8247
Sn: 0.8247 0.4938 0.5062
Pd: 0.0000 0.0000 0.5000
Pd: 0.5000 0.5000 0.0000
Pd: 0.5000 0.5000 0.5000


Record 2
First-principles (GGA-PBE) data for a geometry-optimized KTl2ZnF5 structure, as listed in Alexandria via LeMat-Bulk.

Results
M_tot: 0.00 μB/cell
E_tot: -36.00 eV/cell
Energy relative to the elements, uncorrected: -19.54 eV per formula unit

Lattice parameters (Å, degrees): 7.6137 7.6137 7.6137 148.87 132.01 58.32
Positions (direct):
K: 0.0000 0.0000 0.0000
Tl: 0.2911 0.7911 0.5000
Tl: 0.7089 0.2089 0.5000
Zn: 0.5000 0.5000 0.0000
F: 0.1536 0.3887 0.7649
F: 0.3762 0.6113 0.7649
F: 0.5000 0.0000 0.5000
F: 0.6238 0.3887 0.2351
F: 0.8464 0.6113 0.2351


Record 3
First-principles (GGA-PBE) data for a geometry-optimized Nd8AlSb2 structure, as listed in Alexandria via LeMat-Bulk.

Results
M_tot: 0.00 μB/cell
E_tot: -54.71 eV/cell
Energy relative to the elements, uncorrected: -4.58 eV per formula unit

Lattice parameters (Å, degrees): 10.1665 10.1665 7.0987 101.05 101.05 29.21
Positions (direct):
Nd: 0.0159 0.0159 0.2702
Nd: 0.2164 0.2164 0.8385
Nd: 0.3406 0.3406 0.4811
Nd: 0.4081 0.4081 0.0161
Nd: 0.5919 0.5919 0.9839
Nd: 0.6594 0.6594 0.5189
Nd: 0.7836 0.7836 0.1615
Nd: 0.9841 0.9841 0.7298
Al: 0.5000 0.5000 0.5000
Sb: 0.1793 0.1793 0.2649
Sb: 0.8207 0.8207 0.7351


Record 4
First-principles (GGA-PBE) data for a geometry-optimized RuRh2Pb structure, as listed in Alexandria via LeMat-Bulk.

Results
Formation energy: 0.75 eV per formula unit
M_tot: 0.00 μB/cell
E_tot: -26.94 eV/cell

Lattice parameters (Å, degrees): 4.8739 4.8739 4.8739 131.00 131.00 71.81
Positions (direct):
Ru: 0.0000 0.0000 0.0000
Rh: 0.2500 0.7500 0.5000
Rh: 0.7500 0.2500 0.5000
Pb: 0.5000 0.5000 0.0000